{
  "formula": "Al2RhSe",
  "functional": "PBE",
  "state": "optimized geometry",
  "formation_energy_uncorrected_kj_per_mol_fu": -195,
  "e_tot_ev_per_atom": -5.09,
  "n_ef_per_ev_cell": 1.266,
  "lattice_angstrom": [[-2.430, -2.282, 0.730], [1.844, -1.096, 2.711], [-1.793, 3.458, 4.844]],
  "species": ["Al", "Al", "Rh", "Se"],
  "frac_coords": [[0.000, 0.941, 0.993], [0.500, 0.290, 0.293], [0.000, 0.738, 0.396], [0.500, 0.531, 0.817]]
}

---

{
  "formula": "Ca3Cd5Sn2",
  "functional": "PBE",
  "state": "optimized geometry",
  "e_tot_ev_per_atom": -2.16,
  "e_form_ev_per_atom": -0.2993,
  "n_ef_per_ev_cell": 7.008,
  "lattice_angstrom": [[6.633, 0.000, 0.000], [3.316, 9.074, -1.399], [3.316, 1.059, 9.120]],
  "species": ["Cd", "Cd", "Cd", "Cd", "Cd", "Cd", "Cd", "Cd", "Cd", "Cd", "Ca", "Ca", "Ca", "Ca", "Ca", "Ca", "Sn", "Sn", "Sn", "Sn"],
  "frac_coords": [[0.250, 0.500, 0.500], [0.750, 0.500, 0.500], [0.006, 0.744, 0.744], [0.622, 0.240, 0.515], [0.506, 0.744, 0.744], [0.994, 0.256, 0.256], [0.122, 0.515, 0.240], [0.378, 0.760, 0.485], [0.494, 0.256, 0.256], [0.878, 0.485, 0.760], [0.750, 0.000, 0.000], [0.250, 0.000, 0.000], [0.374, 0.381, 0.870], [0.126, 0.130, 0.619], [0.874, 0.870, 0.381], [0.626, 0.619, 0.130], [0.367, 0.981, 0.285], [0.133, 0.715, 0.019], [0.867, 0.285, 0.981], [0.633, 0.019, 0.715]]
}

---

{
  "formula": "K2PrSmS4",
  "functional": "PBE",
  "state": "optimized geometry",
  "formation_energy_uncorrected_kj_per_mol_fu": -1430,
  "e_tot_ev_per_atom": -5.38,
  "n_ef_per_ev_cell": 0.000,
  "lattice_angstrom": [[4.186, 0.000, 0.000], [0.000, 7.252, 0.124], [0.000, -2.542, 7.357]],
  "species": ["Pr", "S", "S", "S", "S", "K", "K", "Sm"],
  "frac_coords": [[0.000, 0.000, 0.000], [0.500, 0.240, 0.208], [0.500, 0.760, 0.792], [0.000, 0.269, 0.794], [0.000, 0.731, 0.206], [0.000, 0.500, 0.500], [0.500, 0.000, 0.500], [0.500, 0.500, 0.000]]
}

---

{
  "formula": "YEr2Zn2In2",
  "functional": "PBE",
  "state": "optimized geometry",
  "e_tot_ev_per_atom": -3.64,
  "e_form_ev_per_atom": -0.2706,
  "n_ef_per_ev_cell": 3.342,
  "lattice_angstrom": [[4.696, 0.000, 0.000], [2.348, 4.067, 0.000], [2.348, 1.356, 8.986]],
  "species": ["Y", "In", "In", "Zn", "Zn", "Er", "Er"],
  "frac_coords": [[0.000, 0.000, 0.000], [0.262, 0.262, 0.215], [0.738, 0.738, 0.785], [0.601, 0.601, 0.196], [0.399, 0.399, 0.804], [0.128, 0.128, 0.616], [0.872, 0.872, 0.384]]
}

---

{
  "formula": "CaMg2Os",
  "functional": "PBE",
  "state": "optimized geometry",
  "e_tot_ev_per_atom": -3.86,
  "e_form_ev_per_atom": 0.2451,
  "n_ef_per_ev_cell": 2.333,
  "lattice_angstrom": [[3.456, 0.000, 0.000], [0.000, 3.456, 0.000], [0.000, 0.000, 6.937]],
  "species": ["Mg", "Mg", "Os", "Ca"],
  "frac_coords": [[0.000, 0.000, 0.060], [0.000, 0.000, 0.440], [0.500, 0.500, 0.250], [0.500, 0.500, 0.750]]
}

---

{
  "formula": "Y3Ho8Tm",
  "functional": "PBE",
  "state": "optimized geometry",
  "e_tot_ev_per_atom": -4.29,
  "e_form_ev_per_atom": 0.7491,
  "n_ef_per_ev_cell": 12.518,
  "lattice_angstrom": [[1.231, 4.488, -6.083], [7.494, -1.531, 0.386], [-5.353, -7.497, -1.793]],
  "species": ["Ho", "Ho", "Ho", "Ho", "Ho", "Ho", "Ho", "Ho", "Tm", "Y", "Y", "Y"],
  "frac_coords": [[0.876, 0.876, 0.248], [0.373, 0.373, 0.248], [0.124, 0.627, 0.752], [0.627, 0.627, 0.752], [0.876, 0.373, 0.248], [0.124, 0.124, 0.752], [0.627, 0.124, 0.752], [0.373, 0.876, 0.248], [0.000, 0.000, 0.000], [0.500, 0.500, 0.000], [0.250, 0.750, 0.500], [0.750, 0.250, 0.500]]
}

---

{
  "formula": "LiNiCl2",
  "functional": "PBE",
  "state": "optimized geometry",
  "formation_energy_uncorrected_kj_per_mol_fu": -337,
  "e_tot_ev_per_atom": -3.72,
  "n_ef_per_ev_cell": 2.236,
  "lattice_angstrom": [[5.261, 0.000, 0.000], [0.000, 4.056, 0.216], [0.000, 1.863, 3.600]],
  "species": ["Cl", "Cl", "Ni", "Li"],
  "frac_coords": [[0.500, 0.459, 0.460], [0.000, 0.791, 0.791], [0.500, 0.791, 0.791], [0.000, 0.459, 0.459]]
}

---

{
  "formula": "BaSb3Pt",
  "functional": "PBE",
  "state": "optimized geometry",
  "formation_energy_uncorrected_kj_per_mol_fu": -275,
  "e_tot_ev_per_atom": -4.64,
  "n_ef_per_ev_cell": 5.898,
  "lattice_angstrom": [[6.260, 0.000, 0.000], [0.000, 7.220, 0.005], [0.000, 0.007, 6.805]],
  "species": ["Sb", "Sb", "Sb", "Sb", "Sb", "Sb", "Ba", "Ba", "Pt", "Pt"],
  "frac_coords": [[0.329, 0.355, 0.201], [0.965, 0.503, 0.449], [0.465, 0.849, 0.948], [0.965, 0.503, 0.953], [0.829, 0.997, 0.700], [0.465, 0.849, 0.453], [0.972, 0.988, 0.200], [0.472, 0.365, 0.701], [0.647, 0.600, 0.201], [0.147, 0.753, 0.701]]
}

---

{
  "formula": "CdRuAu2",
  "functional": "PBE",
  "state": "optimized geometry",
  "e_tot_ev_per_atom": -3.92,
  "e_form_ev_per_atom": 0.2618,
  "n_ef_per_ev_cell": 4.914,
  "lattice_angstrom": [[-0.011, 0.246, 4.961], [2.745, -3.811, 1.617], [1.057, 3.494, -3.368]],
  "species": ["Ru", "Au", "Au", "Cd"],
  "frac_coords": [[0.750, 0.250, 0.500], [0.000, 0.000, 0.000], [0.250, 0.750, 0.500], [0.500, 0.500, 0.000]]
}

---

{
  "formula": "Li2HoSc3Te6",
  "functional": "PBE",
  "state": "optimized geometry",
  "formation_energy_uncorrected_kj_per_mol_fu": -1395,
  "e_tot_ev_per_atom": -5.06,
  "n_ef_per_ev_cell": 4.466,
  "lattice_angstrom": [[-4.423, 5.002, -2.794], [-1.476, -7.031, -0.883], [-1.715, 0.714, 7.142]],
  "species": ["Li", "Li", "Te", "Te", "Te", "Te", "Te", "Te", "Sc", "Sc", "Sc", "Ho"],
  "frac_coords": [[0.669, 0.331, 0.000], [0.331, 0.669, 0.000], [0.085, 0.425, 0.255], [0.258, 0.258, 0.748], [0.742, 0.742, 0.252], [0.575, 0.915, 0.745], [0.915, 0.575, 0.745], [0.425, 0.085, 0.255], [0.837, 0.163, 0.500], [0.163, 0.837, 0.500], [0.500, 0.500, 0.500], [0.000, 0.000, 0.000]]
}

---

{
  "formula": "CsFe2Cl7",
  "functional": "PBE",
  "state": "optimized geometry",
  "formation_energy_uncorrected_kj_per_mol_fu": -865,
  "e_tot_ev_per_atom": -3.97,
  "n_ef_per_ev_cell": 4.315,
  "lattice_angstrom": [[-3.253, 2.437, 0.827], [-4.543, -4.346, -5.067], [-0.121, -3.358, 9.422]],
  "species": ["Fe", "Fe", "Cl", "Cl", "Cl", "Cl", "Cl", "Cl", "Cl", "Cs"],
  "frac_coords": [[0.500, 0.368, 0.737], [0.500, 0.632, 0.263], [0.500, 0.906, 0.256], [0.500, 0.650, 0.744], [0.500, 0.350, 0.256], [0.500, 0.094, 0.744], [0.000, 0.303, 0.606], [0.000, 0.697, 0.394], [0.500, 0.500, 0.000], [0.000, 0.000, 0.000]]
}

---

{
  "formula": "Re2POs",
  "functional": "PBE",
  "state": "optimized geometry",
  "e_tot_ev_per_atom": -10.43,
  "e_form_ev_per_atom": -0.0418,
  "n_ef_per_ev_cell": 2.353,
  "lattice_angstrom": [[-3.556, 2.315, 2.903], [-0.065, 5.135, 0.222], [-0.375, -4.223, -2.907]],
  "species": ["Re", "Re", "Os", "P"],
  "frac_coords": [[0.251, 0.751, 0.500], [0.966, 0.966, 0.000], [0.535, 0.535, 0.000], [0.748, 0.248, 0.500]]
}